# 1
Th3FeCl3 | GGA-PBE | relaxed

a = 8.8800 Å, b = 3.7894 Å, c = 11.6904 Å
α = 90.00°, β = 91.94°, γ = 90.00°
Last column: nearest neighbours and their distance in Å.
Space group P2_1/m (No. 11)
Unique sites:
Th: 0.0798 0.2500 0.1201 [2 per cell]  1 Fe 2.83, 5 Cl 2.96-3.07
Th: 0.0947 0.2500 0.6153 [2 per cell]  3 Fe 2.67-2.98
Th: 0.3112 0.7500 0.3596 [2 per cell]  2 Fe 2.58, 1 Cl 2.85
Fe: 0.1143 0.2500 0.3614 [2 per cell]  5 Th 2.58-2.83
Cl: 0.1776 0.2500 0.8707 [2 per cell]  4 Th 2.97-3.07
Cl: 0.3359 0.7500 0.1171 [2 per cell]  3 Th 2.85-2.96
Cl: 0.3924 0.7500 0.6124 [2 per cell]  5 Th 3.02-3.25

raw total energy = -44.6 eV per formula unit
N(E_F) = 4.77 states/eV/f.u.
raw formation energy = -1.191 eV per atom

# 2
GaCuOs3 | GGA-PBE | relaxed

a = 4.4550 Å, b = 4.4550 Å, c = 4.4550 Å
α = 90.00°, β = 90.00°, γ = 90.00°
Last column: nearest neighbours and their distance in Å.
Space group Pm-3m (No. 221)
Unique sites:
Ga: 0.0000 0.0000 0.0000 [1 per cell]  12 Os 3.15
Cu: 0.5000 0.5000 0.5000 [1 per cell]  6 Os 2.23
Os: 0.0000 0.5000 0.5000 [3 per cell]  2 Cu 2.23

raw total energy = -30.6 eV per formula unit
energy above the most stable polymorph in this dataset = 0 meV per atom
N(E_F) = 5.07 states/eV/f.u.
formation energy = 2.0325 eV/atom

# 3
LiZrSiC2 | GGA-PBE | relaxed

a = 3.8054 Å, b = 3.8054 Å, c = 4.9149 Å
α = 90.00°, β = 90.00°, γ = 90.00°
Last column: nearest neighbours and their distance in Å.
Space group P4/mmm (No. 123)
Unique sites:
Li: 0.0000 0.0000 0.0000 [1 per cell]  4 Zr 2.69
Zr: 0.5000 0.5000 0.0000 [1 per cell]  2 Si 2.46, 4 Li 2.69
Si: 0.5000 0.5000 0.5000 [1 per cell]  4 C 1.90
C: 0.0000 0.5000 0.5000 [2 per cell]  2 Si 1.90

raw total energy = -26.9 eV per formula unit
N(E_F) = 3.65 states/eV/f.u.
raw formation energy = 1.490 eV per atom

# 4
NpTlAu2I8 | GGA-PBE | relaxed

a = 7.6360 Å, b = 8.5341 Å, c = 9.8218 Å
α = 107.80°, β = 91.26°, γ = 113.41°
Last column: nearest neighbours and their distance in Å.
Space group P-1 (No. 2)
Unique sites:
Np: 0.0000 0.0000 0.0000 [1 per cell]  6 I 2.95-3.01
Tl: 0.0000 0.0000 0.5000 [1 per cell]  6 I 3.39-3.58
Au: 0.0951 0.4211 0.2642 [2 per cell]  3 I 2.64-2.76
I: 0.1979 0.7505 0.9563 [2 per cell]  1 Au 2.66
I: 0.2562 0.7480 0.4633 [2 per cell]  1 Au 2.64
I: 0.2721 0.2116 0.8453 [2 per cell]  1 Np 2.95
I: 0.2943 0.2154 0.2735 [2 per cell]  1 Au 2.76, 1 Np 3.01

raw total energy = -39.5 eV per formula unit
N(E_F) = 13.21 states/eV/f.u.
raw formation energy = -0.436 eV per atom

# 5
Mn3Mo4 | GGA-PBE | relaxed

a = 4.7784 Å, b = 4.7784 Å, c = 4.8707 Å
α = 90.00°, β = 90.00°, γ = 120.00°
Last column: nearest neighbours and their distance in Å.
Space group P6/mmm (No. 191)
Unique sites:
Mn: 0.0000 0.5000 0.0000 [3 per cell]  4 Mn 2.39
Mo: 0.0000 0.0000 0.2509 [2 per cell]  2 Mo 2.43-2.44, 6 Mn 2.68
Mo: 0.3333 0.6667 0.5000 [2 per cell]  9 Mo 2.76-3.01, 6 Mn 2.80

raw total energy = -70.7 eV per formula unit
energy above the most stable polymorph in this dataset = 0 meV per atom
N(E_F) = 7.74 states/eV/f.u.
formation energy = 0.0153 eV/atom

# 6
TbCe2Co | GGA-PBE | relaxed

a = 3.7068 Å, b = 3.7068 Å, c = 26.5715 Å
α = 90.00°, β = 90.00°, γ = 120.00°
Last column: nearest neighbours and their distance in Å.
Space group R3m (No. 160, hexagonal axes)
Unique sites:
Tb: 0.0000 0.0000 0.0000 [3 per cell]  6 Ce 3.53-3.57, 6 Tb 3.71
Ce: 0.0000 0.0000 0.5610 [3 per cell]  3 Co 2.67
Ce: 0.0000 0.0000 0.7741 [3 per cell]  3 Co 2.67
Co: 0.0000 0.0000 0.1673 [3 per cell]  6 Ce 2.67

raw total energy = -23.6 eV per formula unit
energy above the most stable polymorph in this dataset = 122 meV per atom
N(E_F) = 8.52 states/eV/f.u.
formation energy = -0.0066 eV/atom

# 7
NaTb2Co | GGA-PBE | relaxed

a = 3.3716 Å, b = 3.3716 Å, c = 9.4562 Å
α = 90.00°, β = 90.00°, γ = 90.00°
Last column: nearest neighbours and their distance in Å.
Space group P4/mmm (No. 123)
Unique sites:
Na: 0.0000 0.0000 0.0000 [1 per cell]  4 Na 3.37
Tb: 0.5000 0.5000 0.3298 [2 per cell]  4 Co 2.88, 1 Tb 3.22
Co: 0.0000 0.0000 0.5000 [1 per cell]  8 Tb 2.88

raw total energy = -17.8 eV per formula unit
energy above the most stable polymorph in this dataset = 0 meV per atom
N(E_F) = 3.44 states/eV/f.u.
formation energy = -0.0189 eV/atom

# 8
Nd2Y5Er3 | GGA-PBE | relaxed

a = 10.6781 Å, b = 16.1927 Å, c = 9.3320 Å
α = 90.00°, β = 124.77°, γ = 90.00°
Last column: nearest neighbours and their distance in Å.
Space group C2/c (No. 15)
Unique sites:
Nd: 0.1418 0.1242 0.0441 [8 per cell]  3 Er 3.12-3.44, 2 Y 3.31-3.46
Y: 0.0000 0.2302 0.2500 [4 per cell]  5 Er 3.31-3.51, 2 Nd 3.50, 2 Y 3.62
Y: 0.0000 0.2740 0.7500 [4 per cell]  1 Y 3.21, 4 Nd 3.31-3.56, 2 Er 3.56
Y: 0.0000 0.4722 0.7500 [4 per cell]  3 Y 3.21-3.54, 4 Er 3.33-3.47, 2 Nd 3.52
Y: 0.2378 0.3830 0.2302 [8 per cell]  3 Er 3.46-3.56, 2 Nd 3.46-3.58, 3 Y 3.54-3.71
Er: 0.0000 0.0261 0.2500 [4 per cell]  3 Y 3.31-3.56, 4 Nd 3.32-3.44, 2 Er 3.40
Er: 0.1554 0.3792 0.5495 [8 per cell]  1 Nd 3.12, 4 Y 3.33-3.47, 1 Er 3.40

raw total energy = -53.7 eV per formula unit
N(E_F) = 17.98 states/eV/f.u.
formation energy = 0.1857 eV/atom

# 9
Ga3SnAs | GGA-PBE | relaxed

a = 5.0003 Å, b = 5.0003 Å, c = 5.0003 Å
α = 90.00°, β = 90.00°, γ = 90.00°
Last column: nearest neighbours and their distance in Å.
Space group Pm-3m (No. 221)
Unique sites:
Ga: 0.0000 0.0000 0.5000 [3 per cell]  2 As 2.50
Sn: 0.5000 0.5000 0.5000 [1 per cell]  12 Ga 3.54
As: 0.0000 0.0000 0.0000 [1 per cell]  6 Ga 2.50

raw total energy = -16.1 eV per formula unit
energy above the most stable polymorph in this dataset = 0 meV per atom
N(E_F) = 3.22 states/eV/f.u.
formation energy = 0.3316 eV/atom

# 10
Pr2MgSc | GGA-PBE | relaxed

a = 3.4506 Å, b = 3.4506 Å, c = 36.7647 Å
α = 90.00°, β = 90.00°, γ = 120.00°
Last column: nearest neighbours and their distance in Å.
Space group R-3m (No. 166, hexagonal axes)
Unique sites:
Pr: 0.0000 0.0000 0.0913 [6 per cell]  1 Mg 3.36, 3 Sc 3.41, 6 Pr 3.45
Mg: 0.0000 0.0000 0.0000 [3 per cell]  2 Pr 3.36, 6 Mg 3.45
Sc: 0.0000 0.0000 0.5000 [3 per cell]  6 Pr 3.41, 6 Sc 3.45

raw total energy = -16.7 eV per formula unit
energy above the most stable polymorph in this dataset = 202 meV per atom
N(E_F) = 4.32 states/eV/f.u.
formation energy = 0.1951 eV/atom

# 11
CeNd5Rh4 | GGA-PBE | relaxed

a = 17.7594 Å, b = 4.1523 Å, c = 7.9135 Å
α = 90.00°, β = 105.79°, γ = 90.00°
Last column: nearest neighbours and their distance in Å.
Space group C2/m (No. 12)
Unique sites:
Ce: 0.0000 0.0000 0.0000 [2 per cell]  6 Rh 2.84-2.85
Nd: 0.0000 0.0000 0.5000 [2 per cell]  4 Rh 2.90
Nd: 0.1659 0.5000 0.3463 [4 per cell]  3 Rh 2.81-2.82
Nd: 0.1675 0.5000 0.8550 [4 per cell]  4 Rh 2.88-2.89
Rh: 0.0008 0.5000 0.2452 [4 per cell]  4 Nd 2.82-2.90, 2 Ce 2.84
Rh: 0.1667 0.0000 0.1080 [4 per cell]  5 Nd 2.81-2.89, 1 Ce 2.85

raw total energy = -64.7 eV per formula unit
N(E_F) = 7.03 states/eV/f.u.
formation energy = -0.5492 eV/atom

# 12
SiB6Mo12 | GGA-PBE | relaxed

a = 7.7882 Å, b = 7.7882 Å, c = 7.7882 Å
α = 90.00°, β = 90.00°, γ = 90.00°
Last column: nearest neighbours and their distance in Å.
Space group Im-3 (No. 204)
Unique sites:
Si: 0.0000 0.0000 0.0000 [2 per cell]  12 Mo 2.73
B: 0.0000 0.3889 0.5000 [12 per cell]  1 B 1.73
Mo: 0.0000 0.1876 0.2959 [24 per cell]  3 B 2.23-2.33

raw total energy = -181.0 eV per formula unit
N(E_F) = 12.26 states/eV/f.u.
raw formation energy = -0.290 eV per atom

# 13
CeErCo2 | GGA-PBE | relaxed

a = 3.8899 Å, b = 5.6639 Å, c = 6.9484 Å
α = 90.00°, β = 90.00°, γ = 90.00°
Last column: nearest neighbours and their distance in Å.
Space group Pmc2_1 (No. 26)
Unique sites:
Ce: 0.0000 0.1103 0.0000 [2 per cell]  6 Co 2.69-2.89
Er: 0.5000 0.3897 0.3653 [2 per cell]  7 Co 2.81-3.03
Co: 0.0000 0.3624 0.6555 [2 per cell]  2 Co 2.50, 1 Ce 2.79
Co: 0.5000 0.1009 0.7326 [2 per cell]  2 Co 2.50, 4 Ce 2.69-2.80

raw total energy = -25.5 eV per formula unit
N(E_F) = 3.63 states/eV/f.u.
formation energy = -0.2073 eV/atom

# 14
Tb8NdAl2 | GGA-PBE | relaxed

a = 11.1775 Å, b = 11.4541 Å, c = 5.6522 Å
α = 90.00°, β = 100.84°, γ = 90.00°
Last column: nearest neighbours and their distance in Å.
Space group C2/m (No. 12)
Unique sites:
Tb: 0.0848 0.0000 0.2964 [4 per cell]  5 Tb 3.19-3.53, 1 Al 3.23
Tb: 0.1364 0.2573 0.7267 [8 per cell]  1 Al 2.98, 1 Tb 3.19
Tb: 0.2343 0.0000 0.8670 [4 per cell]  1 Nd 2.92, 1 Al 3.02, 3 Tb 3.19
Nd: 0.0000 0.5000 0.0000 [2 per cell]  2 Tb 2.92, 4 Al 3.08-3.18
Al: 0.1225 0.5000 0.5361 [4 per cell]  1 Al 2.69, 2 Tb 2.98

raw total energy = -46.3 eV per formula unit
N(E_F) = 13.75 states/eV/f.u.
formation energy = 0.2697 eV/atom

# 15
CsGa12Ag6 | GGA-PBE | relaxed

a = 11.8725 Å, b = 11.8725 Å, c = 9.5908 Å
α = 90.00°, β = 90.00°, γ = 120.00°
Last column: nearest neighbours and their distance in Å.
Space group R-3m (No. 166, hexagonal axes)
Unique sites:
Cs: 0.0000 0.0000 0.0000 [3 per cell]  6 Ga 3.42
Ga: 0.0000 0.3916 0.5000 [18 per cell]  1 Ga 2.58, 2 Ag 2.65
Ga: 0.0822 0.1645 0.3101 [18 per cell]  4 Ag 2.73-3.00, 4 Ga 2.93
Ag: 0.0491 0.5246 0.2309 [18 per cell]  7 Ga 2.65-2.93

raw total energy = -54.0 eV per formula unit
N(E_F) = 8.41 states/eV/f.u.
formation energy = 0.0136 eV/atom

# 16
CaSi2H | GGA-PBE | relaxed

a = 11.9790 Å, b = 3.9860 Å, c = 6.7484 Å
α = 90.00°, β = 123.70°, γ = 90.00°
Last column: nearest neighbours and their distance in Å.
Space group Cm (No. 8)
Unique sites:
Ca: 0.0000 0.0000 0.0000 [2 per cell]  3 H 2.32-2.39
Ca: 0.0076 0.5000 0.4986 [2 per cell]  3 H 2.41-2.43
Si: 0.2072 0.0000 0.5255 [2 per cell]  3 Si 2.36-2.39
Si: 0.2491 0.5000 0.0789 [2 per cell]  2 H 1.75-1.80
Si: 0.2818 0.0000 0.9305 [2 per cell]  3 Si 2.36
Si: 0.2965 0.5000 0.4698 [2 per cell]  3 Si 2.37-2.39
H: 0.0732 0.5000 0.9097 [2 per cell]  1 Si 1.75
H: 0.4297 0.5000 0.2583 [2 per cell]  1 Si 1.80

raw total energy = -17.0 eV per formula unit
energy above the most stable polymorph in this dataset = 82 meV per atom
N(E_F) = 0.90 states/eV/f.u.

# 17
CsCl4 | GGA-PBE | relaxed

a = 7.7254 Å, b = 7.7254 Å, c = 11.2751 Å
α = 90.00°, β = 90.00°, γ = 90.00°
Last column: nearest neighbours and their distance in Å.
Space group I4/mmm (No. 139)
Unique sites:
Cs: 0.0000 0.5000 0.2500 [4 per cell]  12 Cl 3.90-3.95
Cl: 0.0000 0.0000 0.0000 [2 per cell]  2 Cl 2.30
Cl: 0.0000 0.0000 0.2041 [4 per cell]  1 Cl 2.30
Cl: 0.0000 0.0000 0.5000 [2 per cell]  4 Cl 2.33
Cl: 0.2137 0.2137 0.5000 [8 per cell]  1 Cl 2.33

raw total energy = -12.0 eV per formula unit
energy above the most stable polymorph in this dataset = 21 meV per atom
N(E_F) = 0.00 states/eV/f.u.
raw formation energy = -0.748 eV per atom

# 18
BeAlPb4 | GGA-PBE | relaxed

a = 9.0694 Å, b = 9.0694 Å, c = 9.0694 Å
α = 90.00°, β = 90.00°, γ = 90.00°
Last column: nearest neighbours and their distance in Å.
Space group F-43m (No. 216)
Unique sites:
Be: 0.0000 0.0000 0.0000 [4 per cell]  12 Pb 3.76, 4 Al 3.93
Al: 0.2500 0.2500 0.2500 [4 per cell]  12 Pb 3.76, 4 Be 3.93
Pb: 0.1250 0.1250 0.6250 [16 per cell]  6 Pb 3.21

raw total energy = -17.7 eV per formula unit
N(E_F) = 2.90 states/eV/f.u.
formation energy = 0.7679 eV/atom

# 19
ScP2Pt | GGA-PBE | relaxed

a = 3.9737 Å, b = 5.2955 Å, c = 6.4044 Å
α = 90.00°, β = 90.00°, γ = 90.00°
Last column: nearest neighbours and their distance in Å.
Space group Immm (No. 71)
Unique sites:
Sc: 0.0000 0.0000 0.0000 [2 per cell]  8 P 2.74-2.96
P: 0.0000 0.5000 0.2049 [4 per cell]  2 Pt 2.38, 1 P 2.62
Pt: 0.0000 0.0000 0.5000 [2 per cell]  4 P 2.38

raw total energy = -25.6 eV per formula unit
energy above the most stable polymorph in this dataset = 282 meV per atom
N(E_F) = 3.60 states/eV/f.u.
formation energy = -0.5945 eV/atom

# 20
NaTm2Pa | GGA-PBE | relaxed

a = 3.3876 Å, b = 3.3876 Å, c = 36.5812 Å
α = 90.00°, β = 90.00°, γ = 120.00°
Last column: nearest neighbours and their distance in Å.
Space group R-3m (No. 166, hexagonal axes)
Unique sites:
Na: 0.0000 0.0000 0.0000 [3 per cell]  6 Na 3.39, 2 Tm 3.44
Tm: 0.0000 0.0000 0.0940 [6 per cell]  3 Pa 3.30, 6 Tm 3.39, 1 Na 3.44
Pa: 0.0000 0.0000 0.5000 [3 per cell]  6 Tm 3.30, 6 Pa 3.39

raw total energy = -19.0 eV per formula unit
N(E_F) = 4.88 states/eV/f.u.
formation energy = 0.2019 eV/atom

# 21
YSiRu2 | GGA-PBE | relaxed

a = 3.0185 Å, b = 3.0185 Å, c = 7.3133 Å
α = 90.00°, β = 90.00°, γ = 90.00°
Last column: nearest neighbours and their distance in Å.
Space group P4mm (No. 99)
Unique sites:
Y: 0.0000 0.0000 0.0000 [1 per cell]  4 Ru 3.01, 4 Y 3.02, 4 Si 3.07
Si: 0.5000 0.5000 0.6986 [1 per cell]  4 Ru 2.49
Ru: 0.0000 0.0000 0.5236 [1 per cell]  4 Si 2.49, 4 Ru 2.73
Ru: 0.5000 0.5000 0.2904 [1 per cell]  8 Ru 2.73-3.02, 1 Si 2.98, 4 Y 3.01

raw total energy = -31.1 eV per formula unit
N(E_F) = 5.22 states/eV/f.u.
raw formation energy = -0.168 eV per atom

# 22
Pm6Ag2Ru | GGA-PBE | relaxed

a = 6.6332 Å, b = 7.7492 Å, c = 12.0624 Å
α = 90.00°, β = 119.58°, γ = 90.00°
Last column: nearest neighbours and their distance in Å.
Space group P2_1/c (No. 14)
Unique sites:
Pm: 0.1231 0.1794 0.4501 [4 per cell]  1 Ru 2.77, 1 Ag 3.09
Pm: 0.2912 0.6799 0.4380 [4 per cell]  1 Ru 2.77, 1 Ag 3.06
Pm: 0.3757 0.0190 0.2470 [4 per cell]  1 Ru 2.79, 1 Ag 3.12
Ag: 0.1732 0.1134 0.7457 [4 per cell]  6 Pm 3.06-3.20
Ru: 0.0000 0.0000 0.0000 [2 per cell]  6 Pm 2.77-2.79

raw total energy = -44.8 eV per formula unit
N(E_F) = 9.38 states/eV/f.u.
formation energy = -0.1507 eV/atom

# 23
La3SmTm2As6 | GGA-PBE | relaxed

a = 7.3597 Å, b = 12.7463 Å, c = 7.3476 Å
α = 90.00°, β = 109.50°, γ = 90.00°
Last column: nearest neighbours and their distance in Å.
Space group C2/m (No. 12)
Unique sites:
La: 0.0000 0.0000 0.0000 [2 per cell]  6 As 3.03-3.07
La: 0.0000 0.3343 0.0000 [4 per cell]  6 As 3.04-3.07
Sm: 0.0000 0.5000 0.5000 [2 per cell]  6 As 2.98
Tm: 0.0000 0.1670 0.5000 [4 per cell]  6 As 2.93
As: 0.2401 0.0000 0.7356 [4 per cell]  2 Tm 2.93, 1 Sm 2.98, 3 La 3.03-3.07
As: 0.2481 0.3308 0.7366 [8 per cell]  2 Tm 2.93, 1 Sm 2.98, 3 La 3.04-3.07

raw total energy = -74.7 eV per formula unit
N(E_F) = 1.32 states/eV/f.u.
formation energy = -1.5282 eV/atom